*w*
First-principles (PBE-GGA) data for a relaxed YHN2F crystal, as listed in Alexandria via LeMat-Bulk.

```
YHN2F
1.0
3.2834 0.0000 0.0000
0.0000 3.2834 0.0000
0.0000 0.0000 4.1486
Y H N F
1 1 2 1
direct
0.0000 0.0000 0.0000
0.5000 0.5000 0.5000
0.0000 0.5000 0.5000
0.5000 0.0000 0.5000
0.5000 0.5000 0.0000
```

***

*x*
First-principles (PBE-GGA) data for a relaxed YHN2F crystal, as listed in Alexandria via LeMat-Bulk.

```
YHN2F
1.0
4.7916 0.0000 0.0000
0.0000 4.7916 0.0000
0.0000 0.0000 4.4209
Y H N F
1 1 2 1
direct
0.0000 0.0000 0.0000
0.5000 0.5000 0.5000
0.0000 0.5000 0.0000
0.5000 0.0000 0.0000
0.0000 0.0000 0.5000
```

***

Of them, *x* has the lowest stability.

***

*w*
First-principles (PBE-GGA) data for a relaxed ZrHN2F crystal, as listed in Alexandria via LeMat-Bulk.

```
ZrHN2F
1.0
4.3521 0.0000 0.0000
0.0000 4.3521 0.0000
0.0000 0.0000 4.2685
Zr H N F
1 1 2 1
direct
0.0000 0.0000 0.0000
0.5000 0.5000 0.5000
0.0000 0.5000 0.0000
0.5000 0.0000 0.0000
0.0000 0.0000 0.5000
```

***

*x*
First-principles (PBE-GGA) data for a relaxed ZrHN2F crystal, as listed in Alexandria via LeMat-Bulk.

```
ZrHN2F
1.0
3.3311 0.0000 0.0000
0.0000 3.3311 0.0000
0.0000 0.0000 3.6500
Zr H N F
1 1 2 1
direct
0.0000 0.0000 0.0000
0.5000 0.5000 0.5000
0.0000 0.5000 0.5000
0.5000 0.0000 0.5000
0.5000 0.5000 0.0000
```

***

Of them, *w* has the lowest stability.

***

*w*
First-principles (PBE-GGA) data for a relaxed ZrHNF2 crystal, as listed in Alexandria via LeMat-Bulk.

```
ZrHNF2
1.0
3.1847 0.0000 0.0000
0.0000 3.1847 0.0000
0.0000 0.0000 4.3799
Zr H N F
1 1 1 2
direct
0.0000 0.0000 0.0000
0.5000 0.5000 0.5000
0.5000 0.5000 0.0000
0.0000 0.5000 0.5000
0.5000 0.0000 0.5000
```

***

*x*
First-principles (PBE-GGA) data for a relaxed ZrHNF2 crystal, as listed in Alexandria via LeMat-Bulk.

```
ZrHNF2
1.0
4.2459 0.0000 0.0000
0.0000 4.2459 0.0000
0.0000 0.0000 4.1319
Zr H N F
1 1 1 2
direct
0.0000 0.0000 0.0000
0.5000 0.5000 0.5000
0.0000 0.0000 0.5000
0.0000 0.5000 0.0000
0.5000 0.0000 0.0000
```

***

Of them, *w* has the lowest stability.